# 1
Compound: InHg2Pb
Source: the Alexandria database
Functional: PBEsol
Structure: relaxed

Calculated values
Crystal system = trigonal
Electronic total energy = -2.03 eV/atom
Space-group type = R-3m, No. 166
Total moment = 0.00 μB per atom

The structure in POSCAR format:
```
InHg2Pb
1.0
3.586 0.000 0.000
-1.793 3.106 0.000
0.000 0.000 27.658
In Hg Pb
3 6 3
Cartesian
0.000 0.000 0.000 In
0.000 2.071 18.439 In
1.793 1.035 9.219 In
0.000 0.000 7.029 Hg
0.000 0.000 20.629 Hg
0.000 2.071 11.409 Hg
0.000 2.071 25.468 Hg
1.793 1.035 2.190 Hg
1.793 1.035 16.249 Hg
0.000 0.000 13.829 Pb
0.000 2.071 4.610 Pb
1.793 1.035 23.049 Pb
```



# 2
Compound: In2HgPb
Source: the Alexandria database
Functional: PBEsol
Structure: relaxed

Calculated values
Crystal system = tetragonal
Electronic total energy = -2.58 eV/atom
Space-group type = I-42d, No. 122
Total moment = 0.00 μB per atom

The structure in POSCAR format:
```
In2HgPb
1.0
8.323 0.000 0.000
0.000 8.323 0.000
0.000 0.000 6.212
In Hg Pb
8 4 4
Cartesian
1.919 6.242 0.777 In
2.081 1.919 5.436 In
2.081 2.243 2.330 In
2.243 6.242 3.883 In
6.080 2.081 3.883 In
6.242 6.080 2.330 In
6.242 6.404 5.436 In
6.404 2.081 0.777 In
0.000 0.000 0.000 Hg
0.000 4.161 1.553 Hg
4.161 0.000 4.659 Hg
4.161 4.161 3.106 Hg
0.000 0.000 3.106 Pb
0.000 4.161 4.659 Pb
4.161 0.000 1.553 Pb
4.161 4.161 0.000 Pb
```



# 3
Compound: In2HgPb
Source: the Alexandria database
Functional: PBEsol
Structure: relaxed

Calculated values
Crystal system = monoclinic
Electronic total energy = -2.63 eV/atom
Space-group type = C2/m, No. 12
Total moment = 0.00 μB per atom

The structure in POSCAR format:
```
In2HgPb
1.0
10.978 0.000 0.000
0.000 3.333 0.000
-1.338 0.000 5.611
In Hg Pb
4 2 2
Cartesian
2.318 0.000 1.338 In
1.833 1.667 4.273 In
7.807 1.667 1.338 In
7.322 0.000 4.273 In
0.000 1.667 0.000 Hg
5.489 0.000 0.000 Hg
-0.669 0.000 2.806 Pb
4.820 1.667 2.806 Pb
```



# 4
Compound: InHg2Pb
Source: the Alexandria database
Functional: PBEsol
Structure: relaxed

Calculated values
Crystal system = tetragonal
Electronic total energy = -2.02 eV/atom
Space-group type = I4/mmm, No. 139
Total moment = 0.00 μB per atom

The structure in POSCAR format:
```
InHg2Pb
1.0
4.656 0.000 0.000
0.000 4.656 0.000
0.000 0.000 9.214
In Hg Pb
2 4 2
Cartesian
0.000 0.000 0.000 In
2.328 2.328 4.607 In
0.000 2.328 2.304 Hg
0.000 2.328 6.911 Hg
2.328 0.000 2.304 Hg
2.328 0.000 6.911 Hg
0.000 0.000 4.607 Pb
2.328 2.328 0.000 Pb
```



# 5
Compound: InHg2Pb
Source: the Alexandria database
Functional: PBEsol
Structure: relaxed

Calculated values
Crystal system = tetragonal
Electronic total energy = -2.02 eV/atom
Space-group type = P4mm, No. 99
Total moment = 0.00 μB per atom

The structure in POSCAR format:
```
InHg2Pb
1.0
3.662 0.000 0.000
0.000 3.662 0.000
0.000 0.000 7.503
In Hg Pb
1 2 1
Cartesian
0.000 0.000 0.000 In
0.000 0.000 4.086 Hg
1.831 1.831 5.802 Hg
1.831 1.831 2.121 Pb
```



# 6
Compound: InHgPb
Source: the Alexandria database
Functional: PBEsol
Structure: relaxed

Calculated values
Relative energy among the computed polymorphs = 0.000 eV/atom
Crystal system = trigonal
Electronic total energy = -2.52 eV/atom
Space-group type = P3m1, No. 156
Total moment = 0.00 μB per atom

The structure in POSCAR format:
```
InHgPb
1.0
5.184 0.000 0.000
-2.592 4.490 0.000
0.000 0.000 3.357
In Hg Pb
1 1 1
Cartesian
0.000 0.000 0.000 In
2.592 1.497 3.287 Hg
0.000 2.993 1.662 Pb
```



# 7
Compound: In2HgPb
Source: the Alexandria database
Functional: PBEsol
Structure: relaxed

Calculated values
Crystal system = triclinic
Electronic total energy = -2.63 eV/atom
Space-group type = P1, No. 1
Total moment = 0.00 μB per atom

The structure in POSCAR format:
```
In2HgPb
1.0
3.372 0.000 0.000
-1.350 5.353 0.000
-0.259 -1.155 5.715
In Hg Pb
2 1 1
Cartesian
0.000 0.000 0.000 In
-0.061 1.800 4.301 In
1.860 2.321 1.346 Hg
0.256 4.715 2.805 Pb
```



# 8
Compound: In2HgPb
Source: the Alexandria database
Functional: PBEsol
Structure: relaxed

Calculated values
Crystal system = orthorhombic
Electronic total energy = -2.62 eV/atom
Space-group type = Cmm2, No. 35
Total moment = 0.00 μB per atom

The structure in POSCAR format:
```
In2HgPb
1.0
3.514 0.000 0.000
0.000 5.538 0.000
0.000 0.000 10.702
In Hg Pb
4 2 2
Cartesian
0.000 0.000 0.000 In
0.000 2.769 2.679 In
1.757 0.000 2.679 In
1.757 2.769 0.000 In
0.000 0.000 5.191 Hg
1.757 2.769 5.191 Hg
0.000 2.769 7.881 Pb
1.757 0.000 7.881 Pb
```



Table of energy of formation from the pure elements (kJ/mol of atoms), in record order: -1, 5, 0, 1, 1, -1, 1, 1
Table of D(E_F) (states/eV per atom), in record order: 0.44, 0.51, 0.43, 0.42, 0.42, 0.32, 0.40, 0.37